[1]
LaTmNiIr: relaxed, PBE-GGA.

Cell lengths 4.914, 4.914, 4.914 Å; angles 60.00, 60.00, 60.00 degrees
Fractional positions:
Ni 0.250 0.250 0.250
Ir 0.750 0.750 0.750
Tm 0.000 0.000 0.000
La 0.500 0.500 0.500

Properties
space group: F-43m, No. 216
size of the total moment: 0.0 Bohr magnetons per cell
uncorrected energy: -6.550 eV/atom


[2]
La2VNiIr: relaxed, PBE-GGA.

Cell lengths 5.307, 4.161, 5.307 Å; angles 90.00, 90.00, 90.00 degrees
Site moments in Bohr magnetons follow the coordinates.
Fractional positions:
Ni 0.000 0.500 0.000  0.04
V 0.000 0.000 0.000  0.54
Ir 0.500 0.500 0.500  0.36
La 0.000 0.000 0.500  0.00
La 0.500 0.000 0.000  0.02

Properties
space group: P4/mmm, No. 123
size of the total moment: 1.0 Bohr magnetons per cell
uncorrected energy: -6.122 eV/atom


[3]
LaZnNi3Ir: relaxed, PBE-GGA.

Cell lengths 5.369, 5.250, 7.323 Å; angles 111.01, 90.00, 90.00 degrees
Site moments in Bohr magnetons follow the coordinates.
Fractional positions:
La 0.750 0.312 0.625  -0.01
La 0.250 0.688 0.375  -0.01
Zn 0.250 0.898 0.795  -0.01
Zn 0.750 0.102 0.205  -0.01
Ni 0.250 0.123 0.246  0.10
Ni 0.000 0.271 0.000  0.21
Ni 0.500 0.729 0.000  0.21
Ni 0.500 0.271 0.000  0.21
Ni 0.000 0.729 0.000  0.21
Ni 0.750 0.877 0.754  0.10
Ir 0.250 0.360 0.721  0.06
Ir 0.750 0.640 0.279  0.06

Properties
space group: Cmcm, No. 63
size of the total moment: 1.1 Bohr magnetons per cell
uncorrected energy: -5.496 eV/atom


[4]
LaZn3NiIr: relaxed, PBE-GGA.

Cell lengths 5.388, 6.317, 7.022 Å; angles 116.73, 90.00, 90.00 degrees
Fractional positions:
La 0.750 0.273 0.546
La 0.250 0.727 0.454
Zn 0.250 0.140 0.279
Zn 0.000 0.296 0.000
Zn 0.500 0.704 0.000
Zn 0.500 0.296 0.000
Zn 0.000 0.704 0.000
Zn 0.750 0.860 0.721
Ni 0.250 0.944 0.887
Ni 0.750 0.056 0.113
Ir 0.250 0.347 0.695
Ir 0.750 0.653 0.305

Properties
space group: Cmcm, No. 63
size of the total moment: 0.0 Bohr magnetons per cell
uncorrected energy: -4.209 eV/atom


[5]
LaNp2Ir9: relaxed, PBE-GGA.

Cell lengths 5.328, 5.328, 9.290 Å; angles 73.34, 73.34, 60.00 degrees
Site moments in Bohr magnetons follow the coordinates.
Fractional positions:
La 0.000 0.000 0.000  0.05
Np 0.860 0.860 0.421  3.37
Np 0.140 0.140 0.579  3.37
Ir 0.667 0.667 0.000  -0.12
Ir 0.333 0.333 0.000  -0.12
Ir 0.500 0.500 0.500  -0.27
Ir 0.415 0.415 0.252  -0.20
Ir 0.919 0.415 0.252  -0.20
Ir 0.415 0.919 0.252  -0.20
Ir 0.585 0.585 0.748  -0.20
Ir 0.585 0.081 0.748  -0.20
Ir 0.081 0.585 0.748  -0.20

Properties
space group: R-3m, No. 166
size of the total moment: 5.6 Bohr magnetons per cell
uncorrected energy: -9.614 eV/atom


[6]
LaNpIr2: relaxed, PBE-GGA.

Cell lengths 4.493, 4.493, 5.917 Å; angles 67.69, 67.69, 60.00 degrees
Site moments in Bohr magnetons follow the coordinates.
Fractional positions:
Np 0.500 0.500 0.500  3.08
Ir 0.784 0.784 0.647  -0.24
Ir 0.216 0.216 0.353  -0.24
La 0.000 0.000 0.000  0.03

Properties
space group: R-3m, No. 166
size of the total moment: 2.8 Bohr magnetons per cell
E above lowest polymorph: 0.000 eV/atom


[7]
La3NpIr8: relaxed, PBE-GGA.

Cell lengths 5.443, 5.443, 9.414 Å; angles 73.20, 73.20, 60.00 degrees
Site moments in Bohr magnetons follow the coordinates.
Fractional positions:
La 0.375 0.375 0.876  -0.04
La 0.000 0.000 0.000  -0.06
La 0.500 0.500 0.501  -0.06
Np 0.876 0.876 0.373  -3.58
Ir 0.933 0.437 0.193  0.10
Ir 0.443 0.938 0.682  0.04
Ir 0.437 0.437 0.193  0.10
Ir 0.938 0.938 0.682  0.04
Ir 0.188 0.188 0.437  0.12
Ir 0.688 0.688 0.937  0.03
Ir 0.437 0.933 0.193  0.10
Ir 0.938 0.443 0.682  0.04

Properties
space group: R3m, No. 160
size of the total moment: 3.5 Bohr magnetons per cell
uncorrected energy: -8.846 eV/atom


[8]
LaNpIr2: relaxed, PBE-GGA.

Cell lengths 3.453, 3.453, 7.257 Å; angles 90.00, 90.00, 90.00 degrees
Site moments in Bohr magnetons follow the coordinates.
Fractional positions:
Np 0.500 0.500 0.000  3.24
Ir 0.000 0.000 0.788  -0.24
Ir 0.000 0.000 0.212  -0.24
La 0.500 0.500 0.500  0.15

Properties
space group: P4/mmm, No. 123
size of the total moment: 3.2 Bohr magnetons per cell
E above lowest polymorph: 0.090 eV/atom


[9]
LaNpIr4: relaxed, PBE-GGA.

Cell lengths 5.409, 5.409, 5.409 Å; angles 60.00, 60.00, 60.00 degrees
Site moments in Bohr magnetons follow the coordinates.
Fractional positions:
Np 0.250 0.250 0.250  3.62
Ir 0.625 0.625 0.126  -0.13
Ir 0.625 0.126 0.625  -0.13
Ir 0.625 0.625 0.625  -0.13
Ir 0.126 0.625 0.625  -0.13
La 0.000 0.000 0.000  0.10

Properties
space group: F-43m, No. 216
size of the total moment: 3.5 Bohr magnetons per cell
uncorrected energy: -9.420 eV/atom


[10]
La2NpIr9: relaxed, PBE-GGA.

Cell lengths 5.348, 5.348, 9.463 Å; angles 73.59, 73.59, 60.00 degrees
Site moments in Bohr magnetons follow the coordinates.
Fractional positions:
La 0.860 0.860 0.420  0.02
La 0.140 0.140 0.580  0.02
Np 0.000 0.000 0.000  3.47
Ir 0.667 0.667 0.998  -0.22
Ir 0.333 0.333 0.002  -0.22
Ir 0.500 0.500 0.500  -0.03
Ir 0.421 0.421 0.240  -0.06
Ir 0.918 0.421 0.240  -0.06
Ir 0.421 0.918 0.240  -0.06
Ir 0.579 0.579 0.760  -0.06
Ir 0.579 0.082 0.760  -0.06
Ir 0.082 0.579 0.760  -0.06

Properties
space group: R-3m, No. 166
size of the total moment: 2.9 Bohr magnetons per cell
uncorrected energy: -8.970 eV/atom


[11]
La2NpP3Ir12: relaxed, PBE-GGA.

Cell lengths 7.670, 7.670, 7.670 Å; angles 63.88, 63.88, 63.88 degrees
Site moments in Bohr magnetons follow the coordinates.
Fractional positions:
La 0.603 0.603 0.603  -0.01
La 0.397 0.397 0.397  -0.01
Np 0.000 0.000 0.000  -0.99
P 0.500 0.000 0.000  0.00
P 0.000 0.500 0.000  0.00
P 0.000 0.000 0.500  0.00
Ir 0.344 0.344 0.906  -0.01
Ir 0.867 0.867 0.384  0.05
Ir 0.384 0.867 0.867  0.05
Ir 0.906 0.344 0.344  -0.01
Ir 0.867 0.384 0.867  0.05
Ir 0.344 0.906 0.344  -0.01
Ir 0.656 0.656 0.094  -0.01
Ir 0.133 0.133 0.616  0.05
Ir 0.616 0.133 0.133  0.05
Ir 0.094 0.656 0.656  -0.01
Ir 0.133 0.616 0.133  0.05
Ir 0.656 0.094 0.656  -0.01

Properties
space group: R-3m, No. 166
size of the total moment: 0.8 Bohr magnetons per cell
uncorrected energy: -8.121 eV/atom


[12]
LaIrO2: relaxed, PBE-GGA.

Cell lengths 5.851, 5.851, 5.851 Å; angles 40.27, 40.27, 40.27 degrees
Site moments in Bohr magnetons follow the coordinates.
Fractional positions:
Ir 0.000 0.000 0.000  1.45
O 0.882 0.882 0.882  0.19
O 0.118 0.118 0.118  0.19
La 0.500 0.500 0.500  0.06

Properties
space group: R-3m, No. 166
size of the total moment: 2.0 Bohr magnetons per cell
E above lowest polymorph: 0.000 eV/atom


[13]
La4Ir6O19: relaxed, PBE-GGA.

Cell lengths 7.928, 7.928, 7.928 Å; angles 109.47, 109.47, 109.47 degrees
Fractional positions:
La 0.000 0.000 0.687
La 0.000 0.687 0.000
La 0.313 0.313 0.313
La 0.687 0.000 0.000
Ir 0.344 0.500 0.844
Ir 0.656 0.500 0.156
Ir 0.156 0.656 0.500
Ir 0.844 0.344 0.500
Ir 0.500 0.844 0.344
Ir 0.500 0.156 0.656
O 0.663 0.000 0.663
O 0.337 0.000 0.337
O 0.337 0.337 0.000
O 0.663 0.663 0.000
O 0.000 0.663 0.663
O 0.000 0.337 0.337
O 0.000 0.000 0.000
O 0.313 0.269 0.616
O 0.687 0.304 0.956
O 0.652 0.696 0.384
O 0.956 0.687 0.304
O 0.348 0.731 0.044
O 0.616 0.313 0.269
O 0.044 0.348 0.731
O 0.384 0.652 0.696
O 0.731 0.044 0.348
O 0.304 0.956 0.687
O 0.269 0.616 0.313
O 0.696 0.384 0.652

Properties
space group: I23, No. 197
size of the total moment: 0.0 Bohr magnetons per cell
uncorrected energy: -7.458 eV/atom


[14]
LaIr4O12: relaxed, PBE-GGA.

Cell lengths 6.511, 6.511, 6.511 Å; angles 109.47, 109.47, 109.47 degrees
Site moments in Bohr magnetons follow the coordinates.
Fractional positions:
La 0.000 0.000 0.000  0.02
Ir 0.000 0.500 0.000  0.58
Ir 0.500 0.000 0.000  0.58
Ir 0.500 0.500 0.500  0.58
Ir 0.000 0.000 0.500  0.58
O 0.815 0.290 0.105  0.14
O 0.290 0.474 0.185  0.14
O 0.895 0.185 0.710  0.14
O 0.290 0.105 0.815  0.14
O 0.105 0.815 0.290  0.14
O 0.710 0.526 0.815  0.14
O 0.474 0.185 0.290  0.14
O 0.526 0.815 0.710  0.14
O 0.710 0.895 0.185  0.14
O 0.815 0.710 0.526  0.14
O 0.185 0.290 0.474  0.14
O 0.185 0.710 0.895  0.14

Properties
space group: Im-3, No. 204
size of the total moment: 4.4 Bohr magnetons per cell
uncorrected energy: -6.802 eV/atom


[15]
LaIrO4: relaxed, PBE-GGA.

Cell lengths 5.605, 7.741, 7.642 Å; angles 101.04, 90.00, 90.00 degrees
Site moments in Bohr magnetons follow the coordinates.
Fractional positions:
La 0.724 0.340 0.598  0.02
La 0.776 0.340 0.098  0.02
La 0.224 0.660 0.902  0.02
La 0.276 0.660 0.402  0.02
Ir 0.231 0.160 0.796  0.59
Ir 0.269 0.160 0.296  0.59
Ir 0.731 0.840 0.704  0.59
Ir 0.769 0.840 0.204  0.59
O 0.923 0.051 0.702  0.17
O 0.577 0.051 0.202  0.17
O 0.353 0.163 0.549  0.09
O 0.147 0.163 0.049  0.09
O 0.499 0.320 0.869  0.07
O 0.028 0.381 0.826  0.04
O 0.001 0.320 0.369  0.07
O 0.472 0.381 0.326  0.04
O 0.528 0.619 0.674  0.04
O 0.999 0.680 0.631  0.07
O 0.972 0.619 0.174  0.04
O 0.501 0.680 0.131  0.07
O 0.853 0.837 0.951  0.09
O 0.647 0.837 0.451  0.09
O 0.423 0.949 0.798  0.17
O 0.077 0.949 0.298  0.17

Properties
space group: P2_1/c, No. 14
size of the total moment: 4.3 Bohr magnetons per cell
E above lowest polymorph: 0.000 eV/atom


[16]
La3Ir3O11: relaxed, PBE-GGA.

Cell lengths 9.573, 9.573, 9.573 Å; angles 90.00, 90.00, 90.00 degrees
Fractional positions:
La 0.750 0.750 0.750
La 0.250 0.250 0.750
La 0.750 0.250 0.250
La 0.250 0.750 0.250
La 0.135 0.135 0.135
La 0.865 0.865 0.135
La 0.135 0.865 0.865
La 0.865 0.135 0.865
La 0.365 0.365 0.365
La 0.635 0.635 0.365
La 0.365 0.635 0.635
La 0.635 0.365 0.635
Ir 0.158 0.500 0.000
Ir 0.000 0.158 0.500
Ir 0.500 0.000 0.158
Ir 0.000 0.842 0.500
Ir 0.500 0.000 0.842
Ir 0.842 0.500 0.000
Ir 0.342 0.000 0.500
Ir 0.500 0.342 0.000
Ir 0.000 0.500 0.342
Ir 0.500 0.658 0.000
Ir 0.000 0.500 0.658
Ir 0.658 0.000 0.500
O 0.834 0.502 0.209
O 0.834 0.498 0.791
O 0.166 0.502 0.791
O 0.498 0.791 0.834
O 0.791 0.166 0.502
O 0.791 0.834 0.498
O 0.502 0.209 0.834
O 0.209 0.834 0.502
O 0.502 0.791 0.166
O 0.498 0.209 0.166
O 0.209 0.166 0.498
O 0.166 0.498 0.209
O 0.666 0.998 0.291
O 0.666 0.002 0.709
O 0.334 0.998 0.709
O 0.002 0.709 0.666
O 0.395 0.605 0.395
O 0.709 0.334 0.998
O 0.998 0.291 0.666
O 0.291 0.666 0.998
O 0.998 0.709 0.334
O 0.002 0.291 0.334
O 0.291 0.334 0.002
O 0.334 0.002 0.291
O 0.364 0.000 0.000
O 0.000 0.364 0.000
O 0.000 0.000 0.364
O 0.000 0.636 0.000
O 0.000 0.000 0.636
O 0.636 0.000 0.000
O 0.136 0.500 0.500
O 0.500 0.136 0.500
O 0.500 0.500 0.136
O 0.500 0.864 0.500
O 0.500 0.500 0.864
O 0.864 0.500 0.500
O 0.895 0.895 0.895
O 0.105 0.105 0.895
O 0.895 0.105 0.105
O 0.105 0.895 0.105
O 0.605 0.605 0.605
O 0.395 0.395 0.605
O 0.605 0.395 0.395
O 0.709 0.666 0.002

Properties
space group: Pn-3, No. 201
size of the total moment: 0.9 Bohr magnetons per cell
uncorrected energy: -7.633 eV/atom


[17]
LaIrO2: relaxed, PBE-GGA.

Cell lengths 4.298, 4.298, 4.298 Å; angles 60.00, 60.00, 60.00 degrees
Site moments in Bohr magnetons follow the coordinates.
Fractional positions:
Ir 0.500 0.500 0.500  1.49
O 0.250 0.250 0.250  0.24
O 0.750 0.750 0.750  0.24
La 0.000 0.000 0.000  -0.03

Properties
space group: Fm-3m, No. 225
size of the total moment: 2.0 Bohr magnetons per cell
E above lowest polymorph: 0.660 eV/atom


[18]
LaIr2O8: relaxed, PBE-GGA.

Cell lengths 5.347, 6.061, 6.061 Å; angles 61.48, 78.95, 78.95 degrees
Site moments in Bohr magnetons follow the coordinates.
Fractional positions:
La 0.000 0.000 0.000  0.01
Ir 0.500 0.258 0.258  0.10
Ir 0.500 0.742 0.742  0.10
O 0.305 0.616 0.082  0.00
O 0.695 0.918 0.384  0.00
O 0.259 0.157 0.157  0.02
O 0.741 0.843 0.843  0.02
O 0.305 0.082 0.616  0.00
O 0.695 0.384 0.918  0.00
O 0.683 0.379 0.379  0.07
O 0.317 0.621 0.621  0.07

Properties
space group: C2/m, No. 12
size of the total moment: 0.4 Bohr magnetons per cell
uncorrected energy: -6.790 eV/atom


[19]
LaIrO4: relaxed, PBE-GGA.

Cell lengths 3.664, 3.664, 5.513 Å; angles 90.00, 90.00, 90.00 degrees
Fractional positions:
La 0.501 0.497 0.998
Ir 0.001 0.997 0.498
O 0.501 0.997 0.289
O 0.501 0.997 0.707
O 0.001 0.497 0.707
O 0.001 0.497 0.289

Properties
space group: P4/mmm, No. 123
size of the total moment: 0.0 Bohr magnetons per cell
E above lowest polymorph: 0.359 eV/atom